Entry w
Compound: Dy4Ho5Er
Source: the Alexandria database
Functional: PBE
Structure: optimized geometry

## Properties
**Density of states at the Fermi level**: 14.68 states/eV/f.u.

a b c (Å): 6.2136 7.8079 7.8079
angles (deg): 80.89 66.55 66.55
With the nearest neighbours (Å) after each atom.
Atoms (fractional coordinates):
Dy 0.4049 0.3912 0.7007  4 Ho 3.20-3.48, 1 Dy 3.27
Dy 0.7961 0.7007 0.6088  4 Ho 3.20-3.48, 1 Dy 3.27
Dy 0.1056 0.2993 0.3912  4 Ho 3.20-3.48, 1 Dy 3.27
Dy 0.4968 0.6088 0.2993  4 Ho 3.20-3.48, 1 Dy 3.27
Ho 0.8041 0.3774 0.9170  4 Dy 3.20-3.48, 1 Er 3.23, 1 Ho 3.24
Ho 0.1815 0.9170 0.6226  4 Dy 3.20-3.48, 1 Er 3.23, 1 Ho 3.24
Ho 0.7211 0.0830 0.3774  4 Dy 3.20-3.48, 1 Er 3.23, 1 Ho 3.24
Ho 0.0985 0.6226 0.0830  4 Dy 3.20-3.48, 1 Er 3.23, 1 Ho 3.24
Ho 0.6818 0.0000 0.0000  1 Er 2.87
Er 0.2198 0.0000 0.0000  1 Ho 2.87

***

Entry x
Compound: Dy4Ho5Er
Source: the Alexandria database
Functional: PBE
Structure: optimized geometry

## Properties
**Density of states at the Fermi level**: 17.63 states/eV/f.u.

a b c (Å): 3.5306 6.7375 14.1976
angles (deg): 93.67 104.13 105.39
With the nearest neighbours (Å) after each atom.
Atoms (fractional coordinates):
Dy 0.3617 0.8257 0.2106  1 Er 3.38, 5 Dy 3.43-3.62, 5 Ho 3.49-3.77
Dy 0.8850 0.7053 0.8080  1 Er 3.20, 4 Ho 3.41-3.53, 4 Dy 3.43-3.53
Dy 0.6383 0.1743 0.7894  1 Er 3.38, 5 Dy 3.43-3.62, 5 Ho 3.49-3.77
Dy 0.1150 0.2947 0.1920  1 Er 3.20, 4 Ho 3.41-3.53, 4 Dy 3.43-3.53
Ho 0.9318 0.5813 0.3848  4 Dy 3.47-3.57, 8 Ho 3.48-3.60
Ho 0.2278 0.1245 0.4156  3 Dy 3.41-3.68, 9 Ho 3.48-3.60
Ho 0.7722 0.8755 0.5844  3 Dy 3.41-3.68, 9 Ho 3.48-3.60
Ho 0.5000 0.5000 0.0000  2 Er 3.37, 2 Ho 3.53, 6 Dy 3.53-3.77
Ho 0.0682 0.4187 0.6152  4 Dy 3.47-3.57, 8 Ho 3.48-3.60
Er 0.5000 0.0000 0.0000  4 Dy 3.20-3.38, 2 Ho 3.37, 2 Er 3.53

***

Comparing the structures above, entry x comes out on top by 24.3 kJ/mol of atoms.